[1]
! TaPdPt3 | Alexandria via LeMat-Bulk | PBE-GGA | relaxed; values from VASP
&SYSTEM
  ibrav = 0, nat = 20, ntyp = 3
/
ATOMIC_SPECIES
Ta 180.95 Ta.upf
Pd 106.42 Pd.upf
Pt 195.08 Pt.upf
CELL_PARAMETERS angstrom
6.147 0.000 0.000
0.000 7.276 0.000
0.000 0.000 7.597
ATOMIC_POSITIONS crystal
Ta 0.000 0.000 0.000
Ta 0.000 0.500 0.000
Ta 0.500 0.000 0.500
Ta 0.500 0.500 0.500
Pd 0.201 0.250 0.479
Pd 0.299 0.750 0.979
Pd 0.701 0.250 0.021
Pd 0.799 0.750 0.521
Pt 0.131 0.562 0.675
Pt 0.131 0.938 0.675
Pt 0.222 0.750 0.353
Pt 0.278 0.250 0.853
Pt 0.369 0.062 0.175
Pt 0.369 0.438 0.175
Pt 0.631 0.562 0.825
Pt 0.631 0.938 0.825
Pt 0.722 0.750 0.147
Pt 0.778 0.250 0.647
Pt 0.869 0.062 0.325
Pt 0.869 0.438 0.325
! - DFT formation energy (eV per atom) = -0.26
! - symmetry = Pnma (62)
! - total DFT energy (no corrections) (eV per formula unit) = -36.46
! - M_tot (μB per formula unit) = 0.0
! - energy relative to the lowest polymorph listed for this composition (eV/atom) = 0.301

---

[2]
! Ta2PdPt6 | Alexandria via LeMat-Bulk | PBE-GGA | relaxed; values from VASP
&SYSTEM
  ibrav = 0, nat = 9, ntyp = 3
/
ATOMIC_SPECIES
Ta 180.95 Ta.upf
Pd 106.42 Pd.upf
Pt 195.08 Pt.upf
CELL_PARAMETERS angstrom
6.040 -1.960 0.000
6.040 1.960 0.000
-2.032 0.000 6.056
ATOMIC_POSITIONS crystal
Ta 0.061 0.061 0.326
Ta 0.939 0.939 0.674
Pd 0.500 0.500 0.000
Pt 0.164 0.164 0.004
Pt 0.281 0.281 0.663
Pt 0.398 0.398 0.336
Pt 0.602 0.602 0.664
Pt 0.719 0.719 0.337
Pt 0.836 0.836 0.996
! - DFT formation energy (eV per atom) = -0.60
! - symmetry = C2/m (12)
! - total DFT energy (no corrections) (eV per formula unit) = -70.51
! - M_tot (μB per formula unit) = 0.0

---

[3]
! Ta2Pd3Pt | Alexandria via LeMat-Bulk | PBE-GGA | relaxed; values from VASP
&SYSTEM
  ibrav = 0, nat = 12, ntyp = 3
/
ATOMIC_SPECIES
Ta 180.95 Ta.upf
Pd 106.42 Pd.upf
Pt 195.08 Pt.upf
CELL_PARAMETERS angstrom
6.152 -1.971 0.000
6.152 1.971 0.000
-4.202 0.000 8.054
ATOMIC_POSITIONS crystal
Ta 0.030 0.030 0.357
Ta 0.285 0.285 0.636
Ta 0.715 0.715 0.364
Ta 0.970 0.970 0.643
Pd 0.127 0.127 0.133
Pd 0.209 0.209 0.877
Pd 0.463 0.463 0.135
Pd 0.537 0.537 0.865
Pd 0.791 0.791 0.123
Pd 0.873 0.873 0.867
Pt 0.378 0.378 0.385
Pt 0.622 0.622 0.615
! - DFT formation energy (eV per atom) = -0.40
! - symmetry = C2/m (12)
! - total DFT energy (no corrections) (eV per formula unit) = -47.72
! - M_tot (μB per formula unit) = 0.0

---

[4]
! Ta3PdPt | Alexandria via LeMat-Bulk | PBE-GGA | relaxed; values from VASP
&SYSTEM
  ibrav = 0, nat = 5, ntyp = 3
/
ATOMIC_SPECIES
Ta 180.95 Ta.upf
Pd 106.42 Pd.upf
Pt 195.08 Pt.upf
CELL_PARAMETERS angstrom
4.847 0.000 0.000
0.000 4.847 0.000
0.000 0.000 4.847
ATOMIC_POSITIONS crystal
Ta 0.000 0.000 0.500
Ta 0.000 0.500 0.000
Ta 0.500 0.000 0.000
Pd 0.500 0.500 0.500
Pt 0.000 0.000 0.000
! - DFT formation energy (eV per atom) = 1.21
! - symmetry = Pm-3m (221)
! - total DFT energy (no corrections) (eV per formula unit) = -40.77
! - M_tot (μB per formula unit) = 0.0
! - energy relative to the lowest polymorph listed for this composition (eV/atom) = 0.000

---

Q: Which formula does entry 4 have?
A: Ta3PdPt